(1)
Compound: ZnGePt6
Source: the Alexandria database
Functional: PBE
Structure: relaxed

```
8
Lattice="-1.632 2.882 3.215 -3.666 -1.186 -2.541 1.624 -5.504 3.321" Properties=species:S:1:pos:R:3 pbc="T T T"
Zn 0.000 0.000 0.000
Ge -2.649 0.848 0.337
Pt -1.056 0.348 2.467
Pt -1.600 -2.124 4.406
Pt -0.508 -2.308 1.813
Pt -2.073 -1.685 -0.410
Pt -2.618 -4.157 1.529
Pt -3.166 -1.501 2.182
```

Output
SG: Fmmm (69)
Formation energy from the elements in kJ/mol of atoms: -22
Magnetization in μB/f.u.: 0.0

=====

(2)
Compound: ZnGePt2
Source: the Alexandria database
Functional: PBE
Structure: relaxed

```
4
Lattice="-4.001 0.454 -0.298 -2.202 -2.747 -1.978 -2.651 -3.228 3.312" Properties=species:S:1:pos:R:3 pbc="T T T"
Zn -4.440 -2.815 0.609
Ge -6.774 -4.705 1.710
Pt -2.529 -2.715 2.464
Pt -2.188 -1.273 0.083
```

Output
SG: R3m (160)
Formation energy from the elements in kJ/mol of atoms: -35
Magnetization in μB/f.u.: 0.0

=====

Number 1: DFT total energy -5.4927 eV/atom. Number 2: DFT total energy -4.8518 eV/atom.